No. 1
First-principles (PBE-GGA) data for LaIrW2 after structural relaxation, as listed in the Alexandria database.

Results
Calculated formation energy, eV per atom: 0.215
Space-group type: Pm
Offset from the most stable computed form, meV/atom: 0
Theoretical density, g cm⁻³: 14.9
Uncorrected energy, eV/atom: -9.708

The structure in CIF format:
```
data_LaIrW2
_cell_length_a 3.1716
_cell_length_b 3.1959
_cell_length_c 8.2175
_cell_angle_alpha 69.66
_cell_angle_beta 90.00
_cell_angle_gamma 90.00
_symmetry_space_group_name_H-M 'P 1'
_symmetry_Int_Tables_number 1
_symmetry_space_group_name_Hall 'P 1'
loop_
_atom_site_label
_atom_site_type_symbol
_atom_site_fract_x
_atom_site_fract_y
_atom_site_fract_z
_atom_site_occupancy
Ir1 Ir 0.0000 0.5611 0.4502 1
La1 La 0.5000 0.7611 0.7485 1
W1 W 0.0000 0.9608 0.0543 1
W2 W 0.5000 0.2170 0.2470 1
```

---

No. 2
First-principles (PBE-GGA) data for Sm4RhCl5 after structural relaxation, as listed in the Alexandria database.

Results
Energy relative to the elements, uncorrected, meV per atom: -1679
Space-group type: C2/m
Theoretical density, g cm⁻³: 4.9
Uncorrected energy, eV/atom: -5.225

The structure in CIF format:
```
data_Sm4RhCl5
_cell_length_a 3.9617
_cell_length_b 8.4608
_cell_length_c 9.4947
_cell_angle_alpha 104.28
_cell_angle_beta 102.04
_cell_angle_gamma 90.00
_symmetry_space_group_name_H-M 'P 1'
_symmetry_Int_Tables_number 1
_symmetry_space_group_name_Hall 'P 1'
loop_
_atom_site_label
_atom_site_type_symbol
_atom_site_fract_x
_atom_site_fract_y
_atom_site_fract_z
_atom_site_occupancy
Sm1 Sm 0.6550 0.0982 0.3100 1
Sm2 Sm 0.9994 0.2237 0.9989 1
Sm3 Sm 0.3450 0.9018 0.6900 1
Sm4 Sm 0.0006 0.7763 0.0011 1
Rh1 Rh 0.5000 0.0000 0.0000 1
Cl1 Cl 0.1672 0.3382 0.3343 1
Cl2 Cl 0.1757 0.8654 0.3513 1
Cl3 Cl 0.8243 0.1346 0.6487 1
Cl4 Cl 0.5000 0.5000 0.0000 1
Cl5 Cl 0.8328 0.6618 0.6657 1
```

---

No. 3
First-principles (PBE-GGA) data for BaIn2Pb3 after structural relaxation, as listed in the Alexandria database.

Results
Calculated formation energy, eV per atom: -0.213
Space-group type: Immm
Theoretical density, g cm⁻³: 8.1
Uncorrected energy, eV/atom: -3.300

The structure in CIF format:
```
data_BaIn2Pb3
_cell_length_a 5.0528
_cell_length_b 9.6950
_cell_length_c 9.6956
_cell_angle_alpha 63.75
_cell_angle_beta 74.90
_cell_angle_gamma 74.89
_symmetry_space_group_name_H-M 'P 1'
_symmetry_Int_Tables_number 1
_symmetry_space_group_name_Hall 'P 1'
loop_
_atom_site_label
_atom_site_type_symbol
_atom_site_fract_x
_atom_site_fract_y
_atom_site_fract_z
_atom_site_occupancy
Ba1 Ba 0.8578 0.1422 0.1422 1
Ba2 Ba 0.1422 0.8578 0.8578 1
In1 In 0.5000 0.1462 0.8539 1
In2 In 0.5000 0.8538 0.1461 1
In3 In 0.8217 0.6784 0.6783 1
In4 In 0.1783 0.3216 0.3217 1
Pb1 Pb 0.3220 0.4566 0.8994 1
Pb2 Pb 0.0000 0.3265 0.6735 1
Pb3 Pb 0.6779 0.1006 0.5435 1
Pb4 Pb 0.3221 0.8994 0.4565 1
Pb5 Pb 0.0000 0.6735 0.3265 1
Pb6 Pb 0.6780 0.5434 0.1006 1
```

---

No. 4
First-principles (PBE-GGA) data for RbCdGa2Rh after structural relaxation, as listed in the Alexandria database.

Results
Calculated formation energy, eV per atom: -0.279
Space-group type: P4/mmm
Theoretical density, g cm⁻³: 5.7
Uncorrected energy, eV/atom: -3.336

The structure in CIF format:
```
data_RbCdGa2Rh
_cell_length_a 4.8801
_cell_length_b 4.8801
_cell_length_c 5.3575
_cell_angle_alpha 90.00
_cell_angle_beta 90.00
_cell_angle_gamma 90.00
_symmetry_space_group_name_H-M 'P 1'
_symmetry_Int_Tables_number 1
_symmetry_space_group_name_Hall 'P 1'
loop_
_atom_site_label
_atom_site_type_symbol
_atom_site_fract_x
_atom_site_fract_y
_atom_site_fract_z
_atom_site_occupancy
Rh1 Rh 0.0000 0.0000 0.0000 1
Ga1 Ga 0.0000 0.5000 0.0000 1
Ga2 Ga 0.5000 0.0000 0.0000 1
Rb1 Rb 0.5000 0.5000 0.5000 1
Cd1 Cd 0.0000 0.0000 0.5000 1
```

---

No. 5
First-principles (PBE-GGA) data for GeRh3W after structural relaxation, as listed in the Alexandria database.

Results
Calculated formation energy, eV per atom: 0.993
Space-group type: Pm-3m
Offset from the most stable computed form, meV/atom: 0
Theoretical density, g cm⁻³: 10.5
Uncorrected energy, eV/atom: -6.932

The structure in CIF format:
```
data_GeRh3W
_cell_length_a 4.4657
_cell_length_b 4.4657
_cell_length_c 4.4657
_cell_angle_alpha 90.00
_cell_angle_beta 90.00
_cell_angle_gamma 90.00
_symmetry_space_group_name_H-M 'P 1'
_symmetry_Int_Tables_number 1
_symmetry_space_group_name_Hall 'P 1'
loop_
_atom_site_label
_atom_site_type_symbol
_atom_site_fract_x
_atom_site_fract_y
_atom_site_fract_z
_atom_site_occupancy
Ge1 Ge 0.0000 0.0000 0.0000 1
Rh1 Rh 0.0000 0.5000 0.0000 1
Rh2 Rh 0.0000 0.0000 0.5000 1
Rh3 Rh 0.5000 0.0000 0.0000 1
W1 W 0.5000 0.5000 0.5000 1
```

---

No. 6
First-principles (PBE-GGA) data for LaHgPd after structural relaxation, as listed in the Alexandria database.

Results
Calculated formation energy, eV per atom: -0.592
Space-group type: I4mm
Offset from the most stable computed form, meV/atom: 137
Theoretical density, g cm⁻³: 10.1
Uncorrected energy, eV/atom: -4.066

The structure in CIF format:
```
data_LaHgPd
_cell_length_a 3.8756
_cell_length_b 3.8756
_cell_length_c 5.5893
_cell_angle_alpha 110.29
_cell_angle_beta 110.29
_cell_angle_gamma 90.00
_symmetry_space_group_name_H-M 'P 1'
_symmetry_Int_Tables_number 1
_symmetry_space_group_name_Hall 'P 1'
loop_
_atom_site_label
_atom_site_type_symbol
_atom_site_fract_x
_atom_site_fract_y
_atom_site_fract_z
_atom_site_occupancy
Hg1 Hg 0.9446 0.9446 0.8891 1
Pd1 Pd 0.2791 0.2791 0.5582 1
La1 La 0.6263 0.6263 0.2527 1
```

---

No. 7
First-principles (PBE-GGA) data for AlZnCuPd after structural relaxation, as listed in the Alexandria database.

Results
Calculated formation energy, eV per atom: -0.457
Space-group type: P4mm
Theoretical density, g cm⁻³: 7.8
Uncorrected energy, eV/atom: -4.033

The structure in CIF format:
```
data_AlZnCuPd
_cell_length_a 3.0290
_cell_length_b 3.0290
_cell_length_c 6.0555
_cell_angle_alpha 90.00
_cell_angle_beta 90.00
_cell_angle_gamma 90.00
_symmetry_space_group_name_H-M 'P 1'
_symmetry_Int_Tables_number 1
_symmetry_space_group_name_Hall 'P 1'
loop_
_atom_site_label
_atom_site_type_symbol
_atom_site_fract_x
_atom_site_fract_y
_atom_site_fract_z
_atom_site_occupancy
Al1 Al 0.5000 0.5000 0.6012 1
Zn1 Zn 0.5000 0.5000 0.1213 1
Cu1 Cu 0.0000 0.0000 0.3602 1
Pd1 Pd 0.0000 0.0000 0.8453 1
```

---

No. 8
First-principles (PBE-GGA) data for ScTaSe2 after structural relaxation, as listed in the Alexandria database.

Results
Energy relative to the elements, uncorrected, meV per atom: -631
Space-group type: R-3m
Offset from the most stable computed form, meV/atom: 270
Theoretical density, g cm⁻³: 8.3
Uncorrected energy, eV/atom: -6.919

The structure in CIF format:
```
data_ScTaSe2
_cell_length_a 7.8418
_cell_length_b 7.8418
_cell_length_c 7.8418
_cell_angle_alpha 25.23
_cell_angle_beta 25.23
_cell_angle_gamma 25.23
_symmetry_space_group_name_H-M 'P 1'
_symmetry_Int_Tables_number 1
_symmetry_space_group_name_Hall 'P 1'
loop_
_atom_site_label
_atom_site_type_symbol
_atom_site_fract_x
_atom_site_fract_y
_atom_site_fract_z
_atom_site_occupancy
Sc1 Sc 0.7500 0.7500 0.7500 1
Se1 Se 0.9963 0.9963 0.9963 1
Se2 Se 0.5037 0.5037 0.5037 1
Ta1 Ta 0.2500 0.2500 0.2500 1
```

---

No. 9
First-principles (PBE-GGA) data for LiTbDyGe after structural relaxation, as listed in the Alexandria database.

Results
Calculated formation energy, eV per atom: -0.417
Space-group type: F-43m
Theoretical density, g cm⁻³: 7.4
Uncorrected energy, eV/atom: -4.358

The structure in CIF format:
```
data_LiTbDyGe
_cell_length_a 5.0235
_cell_length_b 5.0235
_cell_length_c 5.0235
_cell_angle_alpha 60.00
_cell_angle_beta 60.00
_cell_angle_gamma 60.00
_symmetry_space_group_name_H-M 'P 1'
_symmetry_Int_Tables_number 1
_symmetry_space_group_name_Hall 'P 1'
loop_
_atom_site_label
_atom_site_type_symbol
_atom_site_fract_x
_atom_site_fract_y
_atom_site_fract_z
_atom_site_occupancy
Ge1 Ge 0.2500 0.2500 0.2500 1
Li1 Li 0.7500 0.7500 0.7500 1
Tb1 Tb 0.0000 0.0000 0.0000 1
Dy1 Dy 0.5000 0.5000 0.5000 1
```

---

No. 10
First-principles (PBE-GGA) data for Pr2TmAs4Pt3 after structural relaxation, as listed in the Alexandria database.

Results
Calculated formation energy, eV per atom: -0.963
Space-group type: P-4m2
Theoretical density, g cm⁻³: 10.4
Uncorrected energy, eV/atom: -6.038

The structure in CIF format:
```
data_Pr2TmAs4Pt3
_cell_length_a 4.4481
_cell_length_b 4.4481
_cell_length_c 10.8055
_cell_angle_alpha 90.00
_cell_angle_beta 90.00
_cell_angle_gamma 90.00
_symmetry_space_group_name_H-M 'P 1'
_symmetry_Int_Tables_number 1
_symmetry_space_group_name_Hall 'P 1'
loop_
_atom_site_label
_atom_site_type_symbol
_atom_site_fract_x
_atom_site_fract_y
_atom_site_fract_z
_atom_site_occupancy
Pr1 Pr 0.5000 0.0000 0.2248 1
Pr2 Pr 0.0000 0.5000 0.7752 1
Tm1 Tm 0.5000 0.5000 0.5000 1
As1 As 0.5000 0.5000 0.0000 1
As2 As 0.0000 0.0000 0.0000 1
As3 As 0.5000 0.0000 0.6513 1
As4 As 0.0000 0.5000 0.3487 1
Pt1 Pt 0.0000 0.0000 0.5000 1
Pt2 Pt 0.5000 0.0000 0.8828 1
Pt3 Pt 0.0000 0.5000 0.1172 1
```

---

No. 11
First-principles (PBE-GGA) data for Ba8Rh2Br after structural relaxation, as listed in the Alexandria database.

Results
Energy relative to the elements, uncorrected, meV per atom: -241
Space-group type: P-1
Theoretical density, g cm⁻³: 3.9
Uncorrected energy, eV/atom: -3.128

The structure in CIF format:
```
data_Ba8Rh2Br
_cell_length_a 7.7710
_cell_length_b 9.3770
_cell_length_c 9.3819
_cell_angle_alpha 120.05
_cell_angle_beta 90.13
_cell_angle_gamma 89.81
_symmetry_space_group_name_H-M 'P 1'
_symmetry_Int_Tables_number 1
_symmetry_space_group_name_Hall 'P 1'
loop_
_atom_site_label
_atom_site_type_symbol
_atom_site_fract_x
_atom_site_fract_y
_atom_site_fract_z
_atom_site_occupancy
Ba1 Ba 0.2685 0.6677 0.3333 1
Ba2 Ba 0.7315 0.3323 0.6667 1
Ba3 Ba 0.7426 0.8272 0.1724 1
Ba4 Ba 0.2583 0.1735 0.3446 1
Ba5 Ba 0.2586 0.6554 0.8273 1
Ba6 Ba 0.2574 0.1728 0.8276 1
Ba7 Ba 0.7418 0.8264 0.6553 1
Ba8 Ba 0.7414 0.3446 0.1727 1
Rh1 Rh 0.1035 0.3339 0.6663 1
Rh2 Rh 0.8965 0.6661 0.3337 1
Br1 Br 0.0000 0.0000 0.0000 1
```

---

No. 12
First-principles (PBE-GGA) data for LiYCo after structural relaxation, as listed in the Alexandria database.

Results
Calculated formation energy, eV per atom: 0.313
Space-group type: F-43m
Offset from the most stable computed form, meV/atom: 305
Theoretical density, g cm⁻³: 4.2
Uncorrected energy, eV/atom: -4.848

The structure in CIF format:
```
data_LiYCo
_cell_length_a 4.4269
_cell_length_b 4.4269
_cell_length_c 4.4269
_cell_angle_alpha 60.00
_cell_angle_beta 60.00
_cell_angle_gamma 60.00
_symmetry_space_group_name_H-M 'P 1'
_symmetry_Int_Tables_number 1
_symmetry_space_group_name_Hall 'P 1'
loop_
_atom_site_label
_atom_site_type_symbol
_atom_site_fract_x
_atom_site_fract_y
_atom_site_fract_z
_atom_site_occupancy
Co1 Co 0.7500 0.7500 0.7500 1
Li1 Li 0.0000 0.0000 0.0000 1
Y1 Y 0.5000 0.5000 0.5000 1
```

---

These records have total moment values of 0.000; 0.000; 0.000; 0.000; 2.986; 0.000; 0.000; 0.000; 0.000; 0.000; 0.177; 0.000 μB per formula unit, in the order they appear.